A relaxed Cs2Pa3WO12 crystal, computed with PBE with a Hubbard U.

Properties
- N(E_F): 49.97 states/eV per cell
- Electronic total energy: -8.2556 eV/atom
- Density: 6.194 g/cm³

a = 8.0423 Å, b = 8.0423 Å, c = 19.1648 Å
α = 90.00°, β = 90.00°, γ = 120.00°
Space group R-3m (No. 166, hexagonal axes)
One atom of each set of equivalent atoms:
Cs1 0.0000 0.0000 0.1236 [6 per cell]
Pa1 0.0000 0.5000 0.0000 [9 per cell]
W1 0.0000 0.0000 0.5000 [3 per cell]
O1 0.0773 0.5386 0.3583 [18 per cell]
O2 0.1036 0.5518 0.1088 [18 per cell]